MgZnAg6 | PBE | optimized geometry

Summary:
Volume: 140 Å³/cell
Size of the total moment: 0.0 μB per cell
E_form: -1.88 kcal/mol of atoms
Relative energy among the computed polymorphs: 0.0 meV/atom

Cell lengths 5.8764, 5.8764, 4.0581 Å; angles 90.00, 90.00, 90.29 degrees
Last column: nearest neighbours and their distance in Å.
Positions (direct):
Mg (0.0000, 0.0000, 0.0000)  12 Ag 2.92-2.94
Zn (0.5000, 0.5000, 0.0000)  12 Ag 2.88-2.94
Ag (0.0000, 0.5000, 0.0000)  8 Ag 2.90-2.91, 2 Mg 2.94, 2 Zn 2.94
Ag (0.2523, 0.7477, 0.5000)  2 Zn 2.89, 8 Ag 2.90-2.97, 2 Mg 2.92
Ag (0.2529, 0.2529, 0.5000)  2 Zn 2.88, 8 Ag 2.91-2.97, 2 Mg 2.92
Ag (0.5000, 0.0000, 0.0000)  8 Ag 2.90-2.91, 2 Mg 2.94, 2 Zn 2.94
Ag (0.7471, 0.7471, 0.5000)  2 Zn 2.88, 8 Ag 2.91-2.97, 2 Mg 2.92
Ag (0.7477, 0.2523, 0.5000)  2 Zn 2.89, 8 Ag 2.90-2.97, 2 Mg 2.92

Pm2DyMg5 | PBE | optimized geometry

Summary:
Volume: 215 Å³/cell
Size of the total moment: 0.0 μB per cell
E_form: -1.77 kcal/mol of atoms

Cell lengths 8.6275, 8.6275, 8.6275 Å; angles 144.52, 144.52, 51.06 degrees
Last column: nearest neighbours and their distance in Å.
Positions (direct):
Pm (0.2414, 0.2414, 0.0000)  8 Mg 3.28-3.45
Pm (0.7586, 0.7586, 0.0000)  8 Mg 3.28-3.45
Dy (0.5000, 0.5000, 0.0000)  8 Mg 3.19
Mg (0.0000, 0.0000, 0.0000)  8 Mg 3.19
Mg (0.1155, 0.6155, 0.5000)  2 Dy 3.19, 2 Mg 3.19, 4 Pm 3.28-3.45
Mg (0.3845, 0.8845, 0.5000)  2 Dy 3.19, 2 Mg 3.19, 4 Pm 3.28-3.45
Mg (0.6155, 0.1155, 0.5000)  2 Dy 3.19, 2 Mg 3.19, 4 Pm 3.28-3.45
Mg (0.8845, 0.3845, 0.5000)  2 Dy 3.19, 2 Mg 3.19, 4 Pm 3.28-3.45

Cd2InH2 | PBE | optimized geometry

Summary:
Volume: 105 Å³/cell
Size of the total moment: 0.0 μB per cell
Relative energy among the computed polymorphs: 0.0 meV/atom

Cell lengths 2.9900, 2.9900, 12.3976 Å; angles 92.11, 92.11, 108.16 degrees
Last column: nearest neighbours and their distance in Å.
Positions (direct):
Cd (0.0610, 0.0610, 0.2385)  4 Cd 2.99, 1 H 3.18
Cd (0.9390, 0.9390, 0.7615)  4 Cd 2.99, 1 H 3.18
In (0.5000, 0.5000, 0.0000)  4 In 2.99
H (0.4912, 0.4912, 0.5302)  1 H 0.76
H (0.5088, 0.5088, 0.4698)  1 H 0.76

ScBe2Au | PBE | optimized geometry

Summary:
Volume: 61 Å³/cell
Size of the total moment: 0.0 μB per cell
E_form: -5.12 kcal/mol of atoms
Relative energy among the computed polymorphs: 77.0 meV/atom

Cell lengths 5.1297, 5.1297, 5.1297 Å; angles 44.88, 44.88, 44.88 degrees
Last column: nearest neighbours and their distance in Å.
Positions (direct):
Sc (0.0000, 0.0000, 0.0000)  7 Be 2.78-3.03, 4 Au 2.82-2.88
Be (0.4798, 0.4798, 0.4798)  3 Be 2.27, 3 Au 2.40
Be (0.7988, 0.7988, 0.7988)  3 Be 2.27, 3 Au 2.47
Au (0.2040, 0.2040, 0.2040)  6 Be 2.40-2.47

DyTl3Os2O9 | PBE | optimized geometry

Summary:
Volume: 209 Å³/cell
Size of the total moment: 0.0 μB per cell
Uncorrected formation energy: -19.80 eV per formula unit

Cell lengths 5.7945, 5.7945, 7.1799 Å; angles 90.00, 90.00, 120.00 degrees
Last column: nearest neighbours and their distance in Å.
Positions (direct):
Dy (0.0000, 0.0000, 0.0000)  6 O 2.27
Tl (0.0000, 0.0000, 0.5000)  12 O 2.85-2.90
Tl (0.3333, 0.6667, 0.1524)  12 O 2.91-3.00
Tl (0.6667, 0.3333, 0.8476)  12 O 2.91-3.00
Os (0.3333, 0.6667, 0.6523)  6 O 1.90-2.00
Os (0.6667, 0.3333, 0.3477)  6 O 1.90-2.00
O (0.0000, 0.5000, 0.5000)  2 Os 2.00
O (0.1795, 0.3591, 0.8076)  1 Os 1.90
O (0.1795, 0.8205, 0.8076)  1 Os 1.90
O (0.3591, 0.1795, 0.1924)  1 Os 1.90
O (0.5000, 0.0000, 0.5000)  2 Os 2.00
O (0.5000, 0.5000, 0.5000)  2 Os 2.00
O (0.6409, 0.8205, 0.8076)  1 Os 1.90
O (0.8205, 0.1795, 0.1924)  1 Os 1.90
O (0.8205, 0.6409, 0.1924)  1 Os 1.90

DyCrN3 | PBE | optimized geometry

Summary:
Volume: 269 Å³/cell
Size of the total moment: 0.0 μB per cell
Uncorrected formation energy: -4.22 eV per formula unit

Cell lengths 6.9529, 6.9529, 5.8672 Å; angles 103.26, 103.26, 85.02 degrees
Last column: nearest neighbours and their distance in Å.
Positions (direct):
Dy (0.0903, 0.9097, 0.7500)  6 N 2.29-2.40
Dy (0.3297, 0.6703, 0.2500)  6 N 2.41-2.53
Dy (0.6703, 0.3297, 0.7500)  6 N 2.41-2.53
Dy (0.9097, 0.0903, 0.2500)  6 N 2.29-2.40
Cr (0.1997, 0.3795, 0.7494)  3 N 1.65-1.80
Cr (0.3795, 0.1997, 0.2494)  3 N 1.65-1.80
Cr (0.6205, 0.8003, 0.7506)  3 N 1.65-1.80
Cr (0.8003, 0.6205, 0.2506)  3 N 1.65-1.80
N (0.0011, 0.2293, 0.6576)  1 Cr 1.71
N (0.1254, 0.6078, 0.8516)  1 Cr 1.65
N (0.2293, 0.0011, 0.1576)  1 Cr 1.71
N (0.3265, 0.3777, 0.5046)  2 Cr 1.80-1.85
N (0.3777, 0.3265, 0.0046)  2 Cr 1.80-1.85
N (0.3922, 0.8746, 0.6484)  1 Cr 1.65
N (0.6078, 0.1254, 0.3516)  1 Cr 1.65
N (0.6223, 0.6735, 0.9954)  2 Cr 1.80-1.85
N (0.6735, 0.6223, 0.4954)  2 Cr 1.80-1.85
N (0.7707, 0.9989, 0.8424)  1 Cr 1.71
N (0.8746, 0.3922, 0.1484)  1 Cr 1.65
N (0.9989, 0.7707, 0.3424)  1 Cr 1.71